[1]
Compound: Sm2DyTmAs4
Source: Alexandria
Functional: GGA-PBE
Structure: optimized geometry

Output
- Energy: -49.27 eV per cell
- Total magnetic moment: 0.000 μB/atom
- Density: 7.635 Mg/m³

Unit cell a=4.156 b=7.191 c=7.194 alpha=70.53 beta=90.00 gamma=90.00
Element x y z (fractional)
Sm 0.000 0.000 0.000
Sm 0.500 0.000 0.500
Dy 0.000 0.500 0.500
Tm 0.500 0.500 0.000
As 0.000 0.742 0.754
As 0.000 0.258 0.246
As 0.500 0.743 0.251
As 0.500 0.257 0.749

---

[2]
Compound: HPb2Au
Source: Alexandria
Functional: GGA-PBE
Structure: optimized geometry

Output
- Energy: -26.88 eV per cell
- Total magnetic moment: 0.000 μB/atom
- Density: 11.287 Mg/m³

Unit cell a=3.827 b=7.245 c=7.842 alpha=60.43 beta=90.00 gamma=105.31
Element x y z (fractional)
H 0.302 0.604 0.061
H 0.698 0.396 0.939
Pb 0.840 0.680 0.268
Pb 0.160 0.320 0.732
Pb 0.878 0.757 0.799
Pb 0.122 0.243 0.201
Au 0.402 0.805 0.484
Au 0.598 0.195 0.516

---

[3]
Compound: Er2Tm2Bi2C
Source: Alexandria
Functional: GGA-PBE
Structure: optimized geometry

Output
- Energy: -39.53 eV per cell
- Total magnetic moment: 0.000 μB/atom
- Density: 10.075 Mg/m³

Unit cell a=4.786 b=4.786 c=8.623 alpha=106.11 beta=106.11 gamma=90.00
Element x y z (fractional)
Er 0.152 0.152 0.304
Er 0.848 0.848 0.696
Tm 0.000 0.500 0.000
Tm 0.500 0.000 0.000
Bi 0.355 0.355 0.710
Bi 0.645 0.645 0.290
C 0.000 0.000 0.000

---

[4]
Compound: Ba3Cd2Hg4Bi2
Source: Alexandria
Functional: GGA-PBE
Structure: optimized geometry

Output
- Energy: -21.45 eV per cell
- Total magnetic moment: 0.000 μB/atom
- Density: 8.264 Mg/m³

Unit cell a=5.073 b=5.073 c=14.935 alpha=99.78 beta=99.78 gamma=90.00
Element x y z (fractional)
Ba 0.000 0.000 0.000
Ba 0.195 0.195 0.390
Ba 0.805 0.805 0.610
Cd 0.451 0.451 0.901
Cd 0.549 0.549 0.099
Hg 0.400 0.900 0.800
Hg 0.900 0.400 0.800
Hg 0.100 0.600 0.200
Hg 0.600 0.100 0.200
Bi 0.322 0.322 0.644
Bi 0.678 0.678 0.356

---

[5]
Compound: ErAgPt
Source: Alexandria
Functional: GGA-PBE
Structure: optimized geometry

Output
- Energy: -15.33 eV per cell
- Total magnetic moment: 0.000 μB/atom
- Density: 12.602 Mg/m³

Unit cell a=3.340 b=4.628 c=4.628 alpha=120.00 beta=90.00 gamma=90.00
Element x y z (fractional)
Ag 0.167 0.000 0.000
Pt 0.166 0.333 0.667
Er 0.667 0.667 0.333

---

[6]
Compound: Ta2GeRh2
Source: Alexandria
Functional: GGA-PBE
Structure: optimized geometry

Output
- Energy: -88.75 eV per cell
- Total magnetic moment: 0.000 μB/atom
- Density: 12.566 Mg/m³

Unit cell a=7.591 b=7.591 c=2.937 alpha=90.00 beta=90.00 gamma=90.00
Element x y z (fractional)
Ge 0.000 0.000 0.000
Ge 0.500 0.500 0.000
Rh 0.369 0.869 0.000
Rh 0.869 0.631 0.000
Rh 0.631 0.131 0.000
Rh 0.131 0.369 0.000
Ta 0.164 0.664 0.500
Ta 0.664 0.836 0.500
Ta 0.836 0.336 0.500
Ta 0.336 0.164 0.500

---

[7]
Compound: Pr8Co2Ge
Source: Alexandria
Functional: GGA-PBE
Structure: optimized geometry

Output
- Energy: -57.84 eV per cell
- Total magnetic moment: 0.000 μB/atom
- Density: 6.613 Mg/m³

Unit cell a=6.499 b=7.677 c=7.677 alpha=113.80 beta=100.37 gamma=100.37
Element x y z (fractional)
Pr 0.584 0.351 0.081
Pr 0.584 0.081 0.351
Pr 0.187 0.372 0.372
Pr 0.975 0.213 0.789
Pr 0.975 0.789 0.213
Pr 0.793 0.648 0.648
Pr 0.369 0.923 0.649
Pr 0.369 0.649 0.923
Co 0.491 0.690 0.310
Co 0.491 0.310 0.690
Ge 0.183 0.007 0.007

---

[8]
Compound: Th2Al2Ag
Source: Alexandria
Functional: GGA-PBE
Structure: optimized geometry

Output
- Energy: -53.47 eV per cell
- Total magnetic moment: 0.000 μB/atom
- Density: 8.491 Mg/m³

Unit cell a=4.641 b=5.958 c=9.901 alpha=87.38 beta=76.45 gamma=67.08
Element x y z (fractional)
Th 0.682 0.310 0.325
Th 0.910 0.272 0.909
Th 0.318 0.690 0.675
Th 0.090 0.728 0.091
Al 0.073 0.288 0.565
Al 0.633 0.853 0.881
Al 0.927 0.712 0.435
Al 0.367 0.147 0.119
Ag 0.626 0.100 0.648
Ag 0.374 0.900 0.352

---

[9]
Compound: Al2CdBr
Source: Alexandria
Functional: GGA-PBE
Structure: optimized geometry

Output
- Energy: -8.74 eV per cell
- Total magnetic moment: 0.000 μB/atom
- E_form (uncorrected): 333 meV per atom
- Density: 4.313 Mg/m³

Unit cell a=5.118 b=5.118 c=5.118 alpha=60.00 beta=60.00 gamma=60.00
Element x y z (fractional)
Al 0.000 0.000 0.000
Al 0.250 0.250 0.250
Br 0.500 0.500 0.500
Cd 0.750 0.750 0.750

---

[10]
Compound: AgSnP2Cl
Source: Alexandria
Functional: GGA-PBE
Structure: optimized geometry

Output
- Energy: -16.31 eV per cell
- Total magnetic moment: 0.216 μB/atom
- E_form (uncorrected): 641 meV per atom
- Density: 4.336 Mg/m³

Unit cell a=4.747 b=4.747 c=5.506 alpha=90.00 beta=90.00 gamma=90.00
Each line ends with the local moment (μB).
Element x y z (fractional)
P 0.000 0.500 0.000  0.22
P 0.500 0.000 0.000  0.22
Sn 0.500 0.500 0.500  -0.02
Ag 0.000 0.000 0.000  0.06
Cl 0.000 0.000 0.500  0.06

---

[11]
Compound: InPdAu
Source: Alexandria
Functional: GGA-PBE
Structure: optimized geometry

Output
- Energy: -23.64 eV per cell
- Total magnetic moment: 0.000 μB/atom
- Density: 12.186 Mg/m³

Unit cell a=3.936 b=6.043 c=6.043 alpha=107.86 beta=71.00 gamma=71.00
Element x y z (fractional)
In 0.745 0.255 0.255
In 0.255 0.745 0.745
Pd 0.000 0.354 0.646
Pd 0.000 0.646 0.354
Au 0.500 0.843 0.157
Au 0.500 0.157 0.843

---

[12]
Compound: TaAsSe2Br
Source: Alexandria
Functional: GGA-PBE
Structure: optimized geometry

Output
- Energy: -17.38 eV per cell
- Total magnetic moment: 0.000 μB/atom
- E_form (uncorrected): 1554 meV per atom
- Density: 6.725 Mg/m³

Unit cell a=4.982 b=4.982 c=4.912 alpha=90.00 beta=90.00 gamma=90.00
Element x y z (fractional)
As 0.000 0.000 0.500
Se 0.000 0.500 0.000
Se 0.500 0.000 0.000
Br 0.000 0.000 0.000
Ta 0.500 0.500 0.500

---

Which value of energy does entry 2 give? -26.88 eV per cell